MnZnO2: relaxed, PBE+U.

Cell lengths 3.3518, 3.3518, 16.4025 Å; angles 90.00, 90.00, 120.00 degrees
Space group R3m (No. 160, hexagonal axes)
One atom of each set of equivalent atoms:
Mn: 0.0000 0.0000 0.0000 [3 per cell]
Zn: 0.0000 0.0000 0.5001 [3 per cell]
O: 0.0000 0.0000 0.1277 [3 per cell]
O: 0.0000 0.0000 0.6216 [3 per cell]

Output
As for the total magnetization: 15.000 μB per cell. The crystal system is trigonal. As for the total energy: -6.16 eV per atom.